K2TaCl5 | PBE-GGA | relaxed

## Properties
The mass density is 2.7 g cm⁻³. The calculation puts the total energy at -34.43 eV per cell. The value obtained for the total magnetization is 0.25 μB/atom. The formation energy (no corrections) is -1.394 eV/atom.

abc: 7.474 7.672 7.508
angles: 127.90 119.85 90.00
Each line ends with the local moment (μB).
Fractional coordinates of all 8 atoms:
Cl  0.282  0.251  0.089  0.01
K  0.737  0.234  0.473  0.01
Cl  0.808  0.251  0.089  0.01
Cl  0.216  0.757  0.988  0.00
Cl  0.771  0.757  0.988  0.00
Cl  0.738  0.815  0.476  0.01
Ta  0.967  0.953  0.935  1.29
K  0.258  0.758  0.516  0.00